[1]
! Pr3Sm5Dy4 | the Alexandria database | PBE | relaxed; values from VASP
&SYSTEM
  ibrav = 0, nat = 12, ntyp = 3
/
ATOMIC_SPECIES
Pr 140.91 Pr.upf
Sm 150.36 Sm.upf
Dy 162.50 Dy.upf
CELL_PARAMETERS angstrom
6.9709 -0.3823 1.8972
-5.2366 7.5283 -6.8566
4.0852 -3.8322 11.7950
ATOMIC_POSITIONS angstrom
Pr 4.5697 -0.2322 3.8943
Pr 2.0426 -1.9161 5.8975
Pr 1.2498 3.5461 2.9414
Sm 2.2361 1.7080 5.8894
Sm 5.5280 -2.1073 6.8461
Sm 2.5934 3.4867 -2.0048
Sm 3.2261 -0.1729 8.8404
Sm 3.5835 1.6058 0.9462
Dy 4.7617 3.3651 3.9047
Dy 5.7242 1.5159 6.8385
Dy 0.0953 1.7979 -0.0029
Dy 1.0578 -0.0513 2.9310
! energy relative to the elements: 0.0153 eV/atom
! total magnetization: 0.00 μB per formula unit
! density of states at the Fermi level: 16.0 states/eV/cell
! ΔE to the lowest computed polymorph: 0.000 kcal/mol of atoms

***

[2]
! Pr3Sm2Dy3 | the Alexandria database | PBE | relaxed; values from VASP
&SYSTEM
  ibrav = 0, nat = 8, ntyp = 3
/
ATOMIC_SPECIES
Pr 140.91 Pr.upf
Sm 150.36 Sm.upf
Dy 162.50 Dy.upf
CELL_PARAMETERS angstrom
5.7486 0.0000 -1.0817
-0.3758 5.7437 -1.9974
-1.3456 -0.4258 8.6653
ATOMIC_POSITIONS angstrom
Pr 0.7695 4.9970 4.0894
Pr 2.6864 2.8719 -1.5396
Pr 3.2577 0.3209 1.4968
Sm 3.3824 3.7107 2.1596
Sm 0.6448 1.6072 3.4266
Dy 3.8845 1.5267 4.8276
Dy 0.1427 3.7912 0.7585
Dy 0.0000 0.0000 0.0000
! energy relative to the elements: 0.0891 eV/atom
! total magnetization: 0.00 μB per formula unit
! density of states at the Fermi level: 13.2 states/eV/cell
! ΔE to the lowest computed polymorph: 1.633 kcal/mol of atoms

***

[3]
! Pr3Sm2Dy4 | the Alexandria database | PBE | relaxed; values from VASP
&SYSTEM
  ibrav = 0, nat = 18, ntyp = 3
/
ATOMIC_SPECIES
Pr 140.91 Pr.upf
Sm 150.36 Sm.upf
Dy 162.50 Dy.upf
CELL_PARAMETERS angstrom
5.8552 1.6375 1.1724
2.1800 11.0972 0.6609
2.1800 4.2013 10.2924
ATOMIC_POSITIONS angstrom
Pr 5.1646 2.7910 4.0382
Pr 7.9782 13.0327 11.3710
Pr 5.0506 14.1451 8.0876
Pr 2.2370 3.9034 0.7548
Pr 3.6438 8.9682 4.4994
Pr 6.5714 7.9678 7.6264
Sm 4.2118 5.7869 5.9809
Sm 3.0758 8.5908 7.9884
Sm 6.0033 11.1492 6.1449
Sm 7.1394 8.3453 4.1373
Dy 4.9049 11.8564 2.9218
Dy 2.3827 9.5311 1.2569
Dy 5.3103 5.0797 9.2040
Dy 7.8324 7.4050 10.8689
Dy 1.7201 3.4913 4.2227
Dy 5.5675 10.9949 9.5950
Dy 8.4950 13.4447 7.9031
Dy 4.6477 5.9412 2.5308
! energy relative to the elements: 0.0947 eV/atom
! total magnetization: 0.00 μB per formula unit
! density of states at the Fermi level: 28.4 states/eV/cell
! ΔE to the lowest computed polymorph: 0.000 kcal/mol of atoms

***

[4]
! Pr5Sm2Dy5 | the Alexandria database | PBE | relaxed; values from VASP
&SYSTEM
  ibrav = 0, nat = 12, ntyp = 3
/
ATOMIC_SPECIES
Pr 140.91 Pr.upf
Sm 150.36 Sm.upf
Dy 162.50 Dy.upf
CELL_PARAMETERS angstrom
5.0074 0.0000 1.0700
2.2095 7.5700 1.9117
0.2938 0.6272 10.8768
ATOMIC_POSITIONS angstrom
Pr 6.1649 6.6020 7.9049
Pr 3.1249 6.1344 9.8798
Pr 4.3859 2.0628 3.9787
Pr 1.3458 1.5952 5.9537
Pr 0.0000 0.0000 0.0000
Sm 5.7272 3.6054 9.9532
Sm 1.7835 4.5918 3.9053
Dy 3.7554 4.0986 6.9293
Dy 2.4045 2.5279 0.9991
Dy 4.1886 7.0833 4.9018
Dy 3.3221 1.1139 8.9567
Dy 5.1062 5.6693 12.8595
! energy relative to the elements: 0.0175 eV/atom
! total magnetization: 0.00 μB per formula unit
! density of states at the Fermi level: 17.7 states/eV/cell

***

[5]
! Pr7Sm3Dy2 | the Alexandria database | PBE | relaxed; values from VASP
&SYSTEM
  ibrav = 0, nat = 12, ntyp = 3
/
ATOMIC_SPECIES
Pr 140.91 Pr.upf
Sm 150.36 Sm.upf
Dy 162.50 Dy.upf
CELL_PARAMETERS angstrom
-3.3722 -0.2182 -1.2469
-1.9623 -2.4899 5.7431
-4.6898 14.6201 10.1258
ATOMIC_POSITIONS angstrom
Pr -4.5257 6.6980 5.8652
Pr -5.4988 5.2141 8.7568
Pr -1.8830 1.0786 4.9041
Pr 0.0000 0.0000 0.0000
Pr -4.7692 11.0516 10.9647
Pr -7.4337 9.6487 13.2139
Pr -2.5908 2.2633 1.4082
Sm -2.6673 -1.3540 2.2481
Sm -1.8176 4.6699 4.0988
Sm -4.8346 7.4603 11.7701
Dy -4.4352 3.1991 6.2329
Dy -5.5892 8.7129 8.3891
! energy relative to the elements: 0.0716 eV/atom
! total magnetization: 0.00 μB per formula unit
! density of states at the Fermi level: 17.9 states/eV/cell
! ΔE to the lowest computed polymorph: 0.000 kcal/mol of atoms

***

[6]
! Pr2Sm3Dy3 | the Alexandria database | PBE | relaxed; values from VASP
&SYSTEM
  ibrav = 0, nat = 8, ntyp = 3
/
ATOMIC_SPECIES
Pr 140.91 Pr.upf
Sm 150.36 Sm.upf
Dy 162.50 Dy.upf
CELL_PARAMETERS angstrom
-0.1268 2.4694 4.4856
-3.4728 -3.3356 1.7382
9.2926 -5.5431 0.3900
ATOMIC_POSITIONS angstrom
Pr 3.6836 -1.7539 3.9940
Pr 2.0093 -4.6554 2.6197
Sm 0.0396 -1.9002 3.9715
Sm 5.6534 -4.5091 2.6422
Sm -0.0634 1.2347 2.2428
Dy 1.8466 -1.4728 0.8630
Dy -1.7364 -1.6678 0.8691
Dy 3.8464 -4.9365 5.7507
! energy relative to the elements: 0.0189 eV/atom
! total magnetization: 0.00 μB per formula unit
! density of states at the Fermi level: 12.2 states/eV/cell
! ΔE to the lowest computed polymorph: 0.000 kcal/mol of atoms

***

[7]
! PrSmDy14 | the Alexandria database | PBE | relaxed; values from VASP
&SYSTEM
  ibrav = 0, nat = 16, ntyp = 3
/
ATOMIC_SPECIES
Pr 140.91 Pr.upf
Sm 150.36 Sm.upf
Dy 162.50 Dy.upf
CELL_PARAMETERS angstrom
7.0900 -0.8537 0.0000
-2.7976 6.5704 0.0000
0.0000 0.0000 11.5051
ATOMIC_POSITIONS angstrom
Pr 4.2030 1.3140 5.7526
Sm -0.7386 5.0244 5.7526
Dy -2.3863 6.2617 0.0000
Dy 2.5566 2.5502 0.0000
Dy 0.6610 1.7388 5.7526
Dy -0.9839 2.9752 0.0000
Dy 2.8070 4.5969 5.7526
Dy 1.1609 5.8316 0.0000
Dy 2.3063 0.5011 8.6635
Dy 2.3063 0.5011 2.8416
Dy 4.4545 3.3621 8.6635
Dy 4.4545 3.3621 2.8416
Dy 0.9124 3.7847 8.6412
Dy 0.9124 3.7847 2.8640
Dy 5.8566 0.0724 8.6512
Dy 5.8566 0.0724 2.8540
! energy relative to the elements: 0.0054 eV/atom
! total magnetization: 0.00 μB per formula unit
! density of states at the Fermi level: 18.3 states/eV/cell

***

[8]
! PrSm4Dy7 | the Alexandria database | PBE | relaxed; values from VASP
&SYSTEM
  ibrav = 0, nat = 12, ntyp = 3
/
ATOMIC_SPECIES
Pr 140.91 Pr.upf
Sm 150.36 Sm.upf
Dy 162.50 Dy.upf
CELL_PARAMETERS angstrom
6.7165 1.3485 0.5387
4.4395 7.3197 2.0700
-1.3687 -0.5737 8.9651
ATOMIC_POSITIONS angstrom
Pr 0.0000 0.0000 0.0000
Sm 6.1931 5.2651 4.1946
Sm 3.5943 2.8294 7.3791
Sm 7.9695 6.7752 8.3119
Sm 1.8179 1.3193 3.2619
Dy 5.9294 4.2142 9.9780
Dy 3.8579 3.8803 1.5957
Dy 7.1180 3.2725 6.9447
Dy 2.6693 4.8220 4.6290
Dy 4.7249 5.9654 7.3423
Dy 3.3582 0.6743 0.2693
Dy 5.0625 2.1291 4.2314
! energy relative to the elements: 0.0851 eV/atom
! total magnetization: 0.00 μB per formula unit
! density of states at the Fermi level: 20.1 states/eV/cell
! ΔE to the lowest computed polymorph: 0.000 kcal/mol of atoms

***

[9]
! Pr2Sm12Dy | the Alexandria database | PBE | relaxed; values from VASP
&SYSTEM
  ibrav = 0, nat = 30, ntyp = 3
/
ATOMIC_SPECIES
Pr 140.91 Pr.upf
Sm 150.36 Sm.upf
Dy 162.50 Dy.upf
CELL_PARAMETERS angstrom
-1.2477 -2.8989 -6.0324
0.7477 -4.2297 5.2821
-24.5832 1.2522 4.4828
ATOMIC_POSITIONS angstrom
Pr -7.1564 -1.1167 -1.8250
Pr -6.3452 -1.7726 3.8663
Pr -17.6768 -1.1954 5.9326
Pr -18.4880 -0.5395 0.2414
Sm -19.9459 -2.5611 3.2164
Sm -19.6959 1.0032 3.5916
Sm -23.1040 -4.1875 3.5696
Sm -21.2296 -2.8137 6.3688
Sm -8.0419 0.4096 1.4665
Sm -2.8559 -3.7281 3.0209
Sm -15.0711 -2.6423 -0.6086
Sm -8.2919 -3.1547 1.0913
Sm -22.8499 -0.6259 3.9686
Sm -2.2291 -5.2533 -0.2123
Sm -13.9303 -1.0497 2.0520
Sm -11.0098 -2.5688 -1.3162
Sm -16.5413 0.8425 3.0163
Sm -10.9029 -1.2624 2.0556
Sm -1.9833 -1.6862 0.1390
Sm -11.2478 -4.7634 1.1421
Sm -14.0853 -4.6774 2.2152
Sm -4.8873 0.2489 0.8912
Sm -14.0538 -3.0283 5.0780
Sm -16.7913 -2.7218 2.6412
Sm -22.2258 -2.1269 0.7138
Sm -5.1373 -3.3154 0.5161
Sm -10.0317 -3.5136 4.3116
Sm -3.8551 -3.0841 -2.6386
Dy -25.2014 -0.1976 1.4656
Dy 0.3682 -2.1146 2.6421
! energy relative to the elements: 0.1541 eV/atom
! total magnetization: 0.00 μB per formula unit
! density of states at the Fermi level: 43.9 states/eV/cell

***

Which value of total magnetization does entry 1 give?
0.00 μB per formula unit

***

Which value of energy relative to the elements does entry 1 give?
0.0153 eV/atom

***

Number 8 is which compound?
PrSm4Dy7